# 1
Here is KCoPt2 after structural relaxation from Alexandria via LeMat-Bulk. Energies are from PBEsol.

abc: 2.683 3.862 7.241
angles: 90.00 90.00 90.00
Space group Pmm2 (No. 25)
Inequivalent atoms, fractional coordinates:
K 0.000 0.000 0.000 [1 per cell]
Co 0.500 0.500 0.653 [1 per cell]
Pt 0.000 0.000 0.525 [1 per cell]
Pt 0.500 0.500 0.313 [1 per cell]

Results
- total magnetic moment (μB per formula unit) = 2.320
- ΔE to the lowest computed polymorph (meV/atom) = 0
- total DFT energy (no corrections) (eV for the cell shown) = -21.42
- DOS(E_F) (states/eV per cell) = 4.70
- formation energy (eV per atom) = 0.345
- calculated volume (Å³ per cell) = 75.02

# 2
Here is CdCu2Pt after structural relaxation from Alexandria via LeMat-Bulk. Energies are from PBEsol.

abc: 5.595 7.020 2.870
angles: 90.00 90.00 90.00
Space group Cmmm (No. 65)
Inequivalent atoms, fractional coordinates:
Cd 0.000 0.000 0.000 [2 per cell]
Cu 0.250 0.250 0.500 [4 per cell]
Pt 0.000 0.500 0.000 [2 per cell]

Results
- total magnetic moment (μB per formula unit) = 0.000
- total DFT energy (no corrections) (eV for the cell shown) = -34.31
- DOS(E_F) (states/eV per cell) = 2.65
- formation energy (eV per atom) = -0.081
- calculated volume (Å³ per cell) = 112.73

# 3
Here is CaCuTc2 after structural relaxation from Alexandria via LeMat-Bulk. Energies are from PBEsol.

abc: 2.753 4.486 10.232
angles: 90.00 90.00 90.00
Space group Immm (No. 71)
Inequivalent atoms, fractional coordinates:
Ca 0.000 0.000 0.000 [2 per cell]
Cu 0.000 0.000 0.500 [2 per cell]
Tc 0.000 0.500 0.217 [4 per cell]

Results
- total magnetic moment (μB per formula unit) = 0.000
- ΔE to the lowest computed polymorph (meV/atom) = 0
- total DFT energy (no corrections) (eV for the cell shown) = -54.33
- DOS(E_F) (states/eV per cell) = 7.47
- formation energy (eV per atom) = 0.459
- calculated volume (Å³ per cell) = 126.35

# 4
Here is Ti2MnB2 after structural relaxation from Alexandria via LeMat-Bulk. Energies are from PBEsol.

abc: 5.711 5.711 3.107
angles: 90.00 90.00 90.00
Space group P4/mbm (No. 127)
Inequivalent atoms, fractional coordinates:
Ti 0.182 0.318 0.000 [4 per cell]
Mn 0.000 0.000 0.500 [2 per cell]
B 0.111 0.611 0.500 [4 per cell]

Results
- total magnetic moment (μB per formula unit) = 0.000
- total DFT energy (no corrections) (eV for the cell shown) = -88.99
- DOS(E_F) (states/eV per cell) = 3.13
- formation energy (eV per atom) = -0.812
- calculated volume (Å³ per cell) = 101.35

# 5
Here is HfCo after structural relaxation from Alexandria via LeMat-Bulk. Energies are from PBEsol.

abc: 3.167 18.590 4.106
angles: 90.00 90.00 90.00
Space group Cmcm (No. 63)
Inequivalent atoms, fractional coordinates:
Hf 0.000 0.061 0.250 [4 per cell]
Hf 0.000 0.194 0.750 [4 per cell]
Co 0.000 0.333 0.750 [4 per cell]
Co 0.000 0.442 0.250 [4 per cell]

Results
- total magnetic moment (μB per formula unit) = 0.000
- total DFT energy (no corrections) (eV for the cell shown) = -153.04
- DOS(E_F) (states/eV per cell) = 8.37
- formation energy (eV per atom) = -0.445
- calculated volume (Å³ per cell) = 241.68

# 6
Here is Tm2TiO5 after structural relaxation from Alexandria via LeMat-Bulk. Energies are from PBEsol.

abc: 7.204 3.582 15.099
angles: 90.00 90.00 90.00
Space group Pnma (No. 62)
Inequivalent atoms, fractional coordinates:
Tm 0.088 0.250 0.090 [4 per cell]
Tm 0.139 0.250 0.733 [4 per cell]
Ti 0.126 0.250 0.427 [4 per cell]
O 0.078 0.750 0.453 [4 per cell]
O 0.089 0.750 0.179 [4 per cell]
O 0.108 0.750 0.649 [4 per cell]
O 0.152 0.750 0.003 [4 per cell]
O 0.213 0.750 0.829 [4 per cell]

Results
- total magnetic moment (μB per formula unit) = 0.000
- ΔE to the lowest computed polymorph (meV/atom) = 0
- total DFT energy (no corrections) (eV for the cell shown) = -289.44
- DOS(E_F) (states/eV per cell) = 0.00
- calculated volume (Å³ per cell) = 389.68
- energy relative to the elements, uncorrected (eV/atom) = -3.4993